# LiZrTa2

LiZrTa2 after structural relaxation (PBE, the Alexandria database).

Its formation energy from the elements is 516 meV/atom.

The structure in extended XYZ format:
```
4
Lattice="0.000 3.317 3.317 3.317 0.000 3.317 3.317 3.317 0.000" Properties=species:S:1:pos:R:3 pbc="T T T"
Li 0.000 0.000 0.000
Zr 3.317 3.317 3.317
Ta 1.658 1.658 1.658
Ta 4.975 4.975 4.975
```